#P
A plane-wave DFT calculation with PBE-GGA was carried out for a relaxed structure of KBaW.

**N(E_F)**: 4.28 states/eV per cell

Cell: 5.9652 5.9652 2.9437 Å, 90.00 90.00 120.00°
Space group P3m1 (No. 156)
Asymmetric unit:
K (0.0000, 0.0000, 0.0000) (multiplicity 1)
Ba (0.3333, 0.6667, 0.0100) (multiplicity 1)
W (0.6667, 0.3333, 0.5087) (multiplicity 1)

---

#Q
A plane-wave DFT calculation with PBE-GGA was carried out for a relaxed structure of KBaW.

**N(E_F)**: 15.07 states/eV per cell

Cell: 4.431 4.487 19.143 Å, 90.00 90.00 90.00°
Space group Fmm2 (No. 42)
Asymmetric unit:
K (0.000, 0.000, 0.000) (multiplicity 4)
Ba (0.000, 0.000, 0.282) (multiplicity 4)
W (0.000, 0.000, 0.648) (multiplicity 4)

---

#Q comes first in stability; the runner-up is 13.9 kJ/mol of atoms higher.

---

#P
A plane-wave DFT calculation with PBE-GGA was carried out for a relaxed structure of K3BaW.

**N(E_F)**: 7.25 states/eV per cell

Cell: 6.826 6.826 6.826 Å, 90.00 90.00 90.00°
Space group Pm-3m (No. 221)
Asymmetric unit:
K (0.000, 0.000, 0.500) (multiplicity 3)
Ba (0.500, 0.500, 0.500) (multiplicity 1)
W (0.000, 0.000, 0.000) (multiplicity 1)

---

#Q
A plane-wave DFT calculation with PBE-GGA was carried out for a relaxed structure of K3BaW.

**N(E_F)**: 1.22 states/eV per cell

Cell: 7.808 7.808 7.808 Å, 90.00 90.00 90.00°
Space group Pm-3m (No. 221)
Asymmetric unit:
K (0.000, 0.000, 0.500) (multiplicity 3)
Ba (0.000, 0.000, 0.000) (multiplicity 1)
W (0.500, 0.500, 0.500) (multiplicity 1)

---

#P comes first in stability; the runner-up is 58.3 kJ/mol of atoms higher.

---

#P
A plane-wave DFT calculation with PBE-GGA was carried out for a relaxed structure of KBaY2.

**N(E_F)**: 15.26 states/eV per cell

Cell: 5.248 5.248 12.583 Å, 90.00 90.00 90.00°
Space group I4/mmm (No. 139)
Asymmetric unit:
K (0.000, 0.000, 0.000) (multiplicity 2)
Ba (0.000, 0.000, 0.500) (multiplicity 2)
Y (0.000, 0.500, 0.250) (multiplicity 4)

---

#Q
A plane-wave DFT calculation with PBE-GGA was carried out for a relaxed structure of KBaY2.

**N(E_F)**: 13.24 states/eV per cell

Cell: 3.969 6.310 13.412 Å, 90.00 90.00 90.00°
Space group Immm (No. 71)
Asymmetric unit:
K (0.000, 0.000, 0.000) (multiplicity 2)
Ba (0.000, 0.000, 0.500) (multiplicity 2)
Y (0.000, 0.500, 0.248) (multiplicity 4)

---

#Q comes first in stability; the runner-up is 7.8 kJ/mol of atoms higher.

---

#P
A plane-wave DFT calculation with PBE-GGA was carried out for a relaxed structure of KBaY2.

**N(E_F)**: 9.70 states/eV per cell

Cell: 3.977 6.751 13.172 Å, 90.00 90.00 90.00°
Space group Imm2 (No. 44)
Asymmetric unit:
K (0.000, 0.000, 0.000) (multiplicity 2)
Ba (0.000, 0.500, 0.232) (multiplicity 2)
Y (0.000, 0.000, 0.462) (multiplicity 2)
Y (0.000, 0.500, 0.755) (multiplicity 2)

---

#Q
A plane-wave DFT calculation with PBE-GGA was carried out for a relaxed structure of KBaY2.

**N(E_F)**: 29.14 states/eV per cell

Cell: 8.826 8.826 8.826 Å, 90.00 90.00 90.00°
Space group Fm-3m (No. 225)
Asymmetric unit:
K (0.000, 0.000, 0.000) (multiplicity 4)
Ba (0.000, 0.000, 0.500) (multiplicity 4)
Y (0.250, 0.250, 0.250) (multiplicity 8)

---

#R
A plane-wave DFT calculation with PBE-GGA was carried out for a relaxed structure of KBaY2.

**N(E_F)**: 14.92 states/eV per cell

Cell: 7.399 12.487 3.738 Å, 90.00 90.00 90.00°
Space group Cmmm (No. 65)
Asymmetric unit:
K (0.000, 0.000, 0.000) (multiplicity 2)
Ba (0.000, 0.500, 0.000) (multiplicity 2)
Y (0.250, 0.250, 0.500) (multiplicity 4)

---

#P comes first in stability; the runner-up is 6.6 kJ/mol of atoms higher.

---

#P
A plane-wave DFT calculation with PBE-GGA was carried out for a relaxed structure of KBaY2.

**N(E_F)**: 6.08 states/eV per cell

Cell: 3.729 6.671 6.906 Å, 90.00 97.13 90.00°
Space group P2/m (No. 10)
Asymmetric unit:
K (0.000, 0.000, 0.000) (multiplicity 1)
Ba (0.500, 0.000, 0.500) (multiplicity 1)
Y (0.254, 0.500, 0.733) (multiplicity 2)

---

#Q
A plane-wave DFT calculation with PBE-GGA was carried out for a relaxed structure of KBaY2.

**N(E_F)**: 7.37 states/eV per cell

Cell: 5.215 5.215 6.350 Å, 90.00 90.00 90.00°
Space group P4/mmm (No. 123)
Asymmetric unit:
K (0.000, 0.000, 0.000) (multiplicity 1)
Ba (0.500, 0.500, 0.000) (multiplicity 1)
Y (0.000, 0.500, 0.500) (multiplicity 2)

---

#R
A plane-wave DFT calculation with PBE-GGA was carried out for a relaxed structure of KBaY2.

**N(E_F)**: 6.20 states/eV per cell

Cell: 4.005 6.285 6.667 Å, 90.00 90.00 90.00°
Space group Pmmm (No. 47)
Asymmetric unit:
K (0.000, 0.000, 0.000) (multiplicity 1)
Ba (0.500, 0.500, 0.000) (multiplicity 1)
Y (0.000, 0.500, 0.500) (multiplicity 1)
Y (0.500, 0.000, 0.500) (multiplicity 1)

---

#R comes first in stability; the runner-up is 0.6 kJ/mol of atoms higher.

---

#P
A plane-wave DFT calculation with PBE-GGA was carried out for a relaxed structure of KBa2Y2.

**N(E_F)**: 12.28 states/eV per cell

Cell: 11.289 11.289 3.900 Å, 90.00 90.00 90.00°
Space group P4/mbm (No. 127)
Asymmetric unit:
K (0.000, 0.000, 0.000) (multiplicity 2)
Ba (0.183, 0.317, 0.000) (multiplicity 4)
Y (0.105, 0.605, 0.500) (multiplicity 4)

---

#Q
A plane-wave DFT calculation with PBE-GGA was carried out for a relaxed structure of KBa2Y2.

**N(E_F)**: 11.88 states/eV per cell

Cell: 11.205 11.205 3.987 Å, 90.00 90.00 90.00°
Space group P4/mbm (No. 127)
Asymmetric unit:
K (0.000, 0.000, 0.000) (multiplicity 2)
Ba (0.183, 0.317, 0.500) (multiplicity 4)
Y (0.105, 0.605, 0.000) (multiplicity 4)

---

#Q comes first in stability; the runner-up is 2.1 kJ/mol of atoms higher.

---

#P
A plane-wave DFT calculation with PBE-GGA was carried out for a relaxed structure of K2BaZn.

**N(E_F)**: 13.32 states/eV per cell

Cell: 4.7669 4.7669 35.1696 Å, 90.00 90.00 120.00°
Space group R3m (No. 160, hexagonal axes)
Asymmetric unit:
K (0.0000, 0.0000, 0.0000) (multiplicity 3)
K (0.0000, 0.0000, 0.2242) (multiplicity 3)
Ba (0.0000, 0.0000, 0.4484) (multiplicity 3)
Zn (0.0000, 0.0000, 0.7283) (multiplicity 3)

---

#Q
A plane-wave DFT calculation with PBE-GGA was carried out for a relaxed structure of K2BaZn.

**N(E_F)**: 11.79 states/eV per cell

Cell: 4.5198 4.5198 37.4961 Å, 90.00 90.00 120.00°
Space group R-3m (No. 166, hexagonal axes)
Asymmetric unit:
K (0.0000, 0.0000, 0.2305) (multiplicity 6)
Ba (0.0000, 0.0000, 0.0000) (multiplicity 3)
Zn (0.0000, 0.0000, 0.5000) (multiplicity 3)

---

#R
A plane-wave DFT calculation with PBE-GGA was carried out for a relaxed structure of K2BaZn.

**N(E_F)**: 8.30 states/eV per cell

Cell: 12.271 4.466 8.441 Å, 90.00 113.11 90.00°
Space group Cm (No. 8)
Asymmetric unit:
K (0.000, 0.000, 0.000) (multiplicity 2)
K (0.187, 0.000, 0.698) (multiplicity 2)
Ba (0.363, 0.000, 0.354) (multiplicity 2)
Zn (0.152, 0.500, 0.352) (multiplicity 2)

---

#S
A plane-wave DFT calculation with PBE-GGA was carried out for a relaxed structure of K2BaZn.

**N(E_F)**: 4.22 states/eV per cell

Cell: 4.559 6.864 6.391 Å, 90.00 97.59 90.00°
Space group P2/m (No. 10)
Asymmetric unit:
K (0.195, 0.000, 0.278) (multiplicity 2)
Ba (0.500, 0.500, 0.000) (multiplicity 1)
Zn (0.000, 0.500, 0.500) (multiplicity 1)

---

#P comes first in stability; the runner-up is 1.5 kJ/mol of atoms higher.

---

#P
A plane-wave DFT calculation with PBE-GGA was carried out for a relaxed structure of K2BaZn.

**N(E_F)**: 26.33 states/eV per cell

Cell: 9.176 9.176 9.176 Å, 90.00 90.00 90.00°
Space group Fm-3m (No. 225)
Asymmetric unit:
K (0.250, 0.250, 0.250) (multiplicity 8)
Ba (0.000, 0.000, 0.000) (multiplicity 4)
Zn (0.000, 0.000, 0.500) (multiplicity 4)

---

#Q
A plane-wave DFT calculation with PBE-GGA was carried out for a relaxed structure of K2BaZn.

**N(E_F)**: 9.20 states/eV per cell

Cell: 7.512 12.878 4.489 Å, 90.00 90.00 90.00°
Space group Cmmm (No. 65)
Asymmetric unit:
K (0.250, 0.250, 0.000) (multiplicity 4)
Ba (0.000, 0.000, 0.500) (multiplicity 2)
Zn (0.000, 0.500, 0.500) (multiplicity 2)

---

#R
A plane-wave DFT calculation with PBE-GGA was carried out for a relaxed structure of K2BaZn.

**N(E_F)**: 8.20 states/eV per cell

Cell: 5.316 5.316 13.890 Å, 90.00 90.00 90.00°
Space group I4/mmm (No. 139)
Asymmetric unit:
K (0.000, 0.500, 0.250) (multiplicity 4)
Ba (0.000, 0.000, 0.000) (multiplicity 2)
Zn (0.000, 0.000, 0.500) (multiplicity 2)

---

#S
A plane-wave DFT calculation with PBE-GGA was carried out for a relaxed structure of K2BaZn.

**N(E_F)**: 4.27 states/eV per cell

Cell: 5.288 5.314 6.930 Å, 90.00 90.00 90.00°
Space group Pmmm (No. 47)
Asymmetric unit:
K (0.000, 0.000, 0.000) (multiplicity 1)
K (0.500, 0.500, 0.000) (multiplicity 1)
Ba (0.000, 0.500, 0.500) (multiplicity 1)
Zn (0.500, 0.000, 0.500) (multiplicity 1)

---

#S comes first in stability; the runner-up is 0.6 kJ/mol of atoms higher.